{
  "formula": "ZrRuO2F",
  "functional": "GGA-PBE",
  "state": "relaxed",
  "magnetic_moment_mub_per_cell": 3.09,
  "n_ef_per_ev_atom": 0.612,
  "formation_energy_uncorrected_kj_per_mol_atoms": -145.4,
  "mass_density_g_cm3": 5.54,
  "cell": [[4.1830, 0.0000, 0.0000], [0.0000, 4.1830, 0.0000], [0.0000, 0.0000, 4.1711]],
  "species": ["Zr", "Ru", "O", "O", "F"],
  "fractional_positions": [[0.0000, 0.0000, 0.0000], [0.5000, 0.5000, 0.5000], [0.0000, 0.5000, 0.0000], [0.5000, 0.0000, 0.0000], [0.0000, 0.0000, 0.5000]]
}